(1)
Li4Ag7Hg: relaxed, PBE-GGA. Values from VASP.

## Properties
Total energy, eV/atom: -2.337
N(E_F), states/eV/cell: 2.8
Energy relative to the lowest polymorph listed for this composition, kcal/mol of atoms: 3.05
Calculated volume, Å³/f.u.: 235.4
DFT formation energy, meV per atom: -11

Structure (Quantum ESPRESSO input):
```
&SYSTEM
  ibrav = 0, nat = 12, ntyp = 3
/
ATOMIC_SPECIES
Ag 107.87 Ag.upf
Li 6.94 Li.upf
Hg 200.59 Hg.upf
ATOMIC_POSITIONS crystal
Ag 0.500 0.000 0.000
Ag 0.208 0.085 0.499
Ag 0.351 0.524 0.773
Ag 0.792 0.915 0.501
Ag 0.044 0.615 0.297
Ag 0.649 0.476 0.227
Ag 0.956 0.385 0.703
Li 0.272 0.311 0.145
Li 0.728 0.689 0.855
Li 0.608 0.226 0.557
Li 0.392 0.774 0.443
Hg 0.000 0.000 0.000
CELL_PARAMETERS angstrom
-1.391 4.988 0.138
-7.095 0.558 5.560
2.586 3.297 4.091
```


(2)
Li4Ag15Hg: relaxed, PBE-GGA. Values from VASP.

## Properties
Total energy, eV/atom: -2.621
N(E_F), states/eV/cell: 5.8
Calculated volume, Å³/f.u.: 349.4
DFT formation energy, meV per atom: -85

Structure (Quantum ESPRESSO input):
```
&SYSTEM
  ibrav = 0, nat = 20, ntyp = 3
/
ATOMIC_SPECIES
Ag 107.87 Ag.upf
Hg 200.59 Hg.upf
Li 6.94 Li.upf
ATOMIC_POSITIONS crystal
Ag 0.500 0.500 0.206
Ag 0.000 0.500 0.696
Ag 0.000 0.500 0.108
Ag 0.500 0.500 0.598
Ag 0.500 0.500 0.402
Ag 0.000 0.500 0.304
Ag 0.500 0.500 0.794
Ag 0.500 0.000 0.108
Ag 0.500 0.000 0.500
Ag 0.500 0.000 0.304
Ag 0.500 0.500 0.000
Ag 0.500 0.000 0.696
Ag 0.000 0.500 0.500
Ag 0.000 0.500 0.892
Ag 0.500 0.000 0.892
Hg 0.000 0.000 0.000
Li 0.000 0.000 0.205
Li 0.000 0.000 0.599
Li 0.000 0.000 0.401
Li 0.000 0.000 0.795
CELL_PARAMETERS angstrom
4.168 0.000 0.000
0.000 4.168 0.000
0.000 0.000 20.112
```


(3)
Li4Ag4Hg: relaxed, PBE-GGA. Values from VASP.

## Properties
Total energy, eV/atom: -2.357
N(E_F), states/eV/cell: 2.3
Calculated volume, Å³/f.u.: 154.4
DFT formation energy, meV per atom: -205

Structure (Quantum ESPRESSO input):
```
&SYSTEM
  ibrav = 0, nat = 9, ntyp = 3
/
ATOMIC_SPECIES
Li 6.94 Li.upf
Hg 200.59 Hg.upf
Ag 107.87 Ag.upf
ATOMIC_POSITIONS crystal
Li 0.333 0.334 0.000
Li 0.667 0.000 0.666
Li 0.333 0.000 0.334
Li 0.667 0.666 0.000
Hg 0.000 0.000 0.000
Ag 0.667 0.333 0.333
Ag 0.000 0.667 0.333
Ag 0.333 0.667 0.667
Ag 0.000 0.333 0.667
CELL_PARAMETERS angstrom
-3.364 -0.704 -2.290
1.837 -2.545 -5.640
-2.131 -5.965 1.241
```


(4)
Li4Ag3Hg: relaxed, PBE-GGA. Values from VASP.

## Properties
Total energy, eV/atom: -2.314
N(E_F), states/eV/cell: 2.2
Energy relative to the lowest polymorph listed for this composition, kcal/mol of atoms: 0.00
Calculated volume, Å³/f.u.: 132.5
DFT formation energy, meV per atom: -250

Structure (Quantum ESPRESSO input):
```
&SYSTEM
  ibrav = 0, nat = 8, ntyp = 3
/
ATOMIC_SPECIES
Ag 107.87 Ag.upf
Li 6.94 Li.upf
Hg 200.59 Hg.upf
ATOMIC_POSITIONS crystal
Ag 0.500 0.500 0.256
Ag 0.500 0.500 0.500
Ag 0.500 0.500 0.744
Li 0.000 0.000 0.623
Li 0.000 0.000 0.131
Li 0.000 0.000 0.869
Li 0.000 0.000 0.377
Hg 0.500 0.500 0.000
CELL_PARAMETERS angstrom
-0.522 -2.849 1.523
1.427 -1.588 -2.480
10.959 1.018 5.656
```


(5)
LiAg4Hg2: relaxed, PBE-GGA. Values from VASP.

## Properties
Total energy, eV/atom: -2.052
N(E_F), states/eV/cell: 3.4
Energy relative to the lowest polymorph listed for this composition, kcal/mol of atoms: 0.00
Calculated volume, Å³/f.u.: 131.5
DFT formation energy, meV per atom: -63

Structure (Quantum ESPRESSO input):
```
&SYSTEM
  ibrav = 0, nat = 14, ntyp = 3
/
ATOMIC_SPECIES
Ag 107.87 Ag.upf
Hg 200.59 Hg.upf
Li 6.94 Li.upf
ATOMIC_POSITIONS crystal
Ag 0.972 0.754 0.601
Ag 0.788 0.066 0.762
Ag 0.925 0.214 0.182
Ag 0.504 0.797 0.907
Ag 0.247 0.024 0.452
Ag 0.830 0.605 0.174
Ag 0.211 0.497 0.042
Ag 0.389 0.168 0.878
Hg 0.085 0.366 0.614
Hg 0.512 0.317 0.301
Hg 0.629 0.912 0.327
Hg 0.694 0.485 0.755
Li 0.359 0.650 0.476
Li 0.106 0.895 0.029
CELL_PARAMETERS angstrom
-4.896 2.869 -0.487
-1.649 -6.079 3.235
5.032 3.423 5.052
```


(6)
Li6Ag3Hg: relaxed, PBE-GGA. Values from VASP.

## Properties
Total energy, eV/atom: -2.265
N(E_F), states/eV/cell: 5.7
Energy relative to the lowest polymorph listed for this composition, kcal/mol of atoms: 0.00
Calculated volume, Å³/f.u.: 166.0
DFT formation energy, meV per atom: -231

Structure (Quantum ESPRESSO input):
```
&SYSTEM
  ibrav = 0, nat = 20, ntyp = 3
/
ATOMIC_SPECIES
Li 6.94 Li.upf
Hg 200.59 Hg.upf
Ag 107.87 Ag.upf
ATOMIC_POSITIONS crystal
Li 0.750 0.943 0.096
Li 0.250 0.057 0.904
Li 0.250 0.636 0.696
Li 0.250 0.839 0.296
Li 0.750 0.542 0.900
Li 0.250 0.255 0.513
Li 0.750 0.161 0.704
Li 0.750 0.364 0.304
Li 0.250 0.458 0.100
Li 0.250 0.153 0.206
Li 0.750 0.745 0.487
Li 0.750 0.847 0.794
Hg 0.250 0.944 0.609
Hg 0.750 0.056 0.391
Ag 0.750 0.455 0.600
Ag 0.750 0.646 0.193
Ag 0.250 0.354 0.807
Ag 0.750 0.250 0.006
Ag 0.250 0.545 0.400
Ag 0.250 0.750 0.994
CELL_PARAMETERS angstrom
4.439 0.000 0.000
0.000 7.768 -2.064
0.000 0.476 9.504
```


(7)
Li4Ag2Hg3: relaxed, PBE-GGA. Values from VASP.

## Properties
Total energy, eV/atom: -1.839
N(E_F), states/eV/cell: 2.2
Energy relative to the lowest polymorph listed for this composition, kcal/mol of atoms: 0.25
Calculated volume, Å³/f.u.: 164.4
DFT formation energy, meV per atom: -254

Structure (Quantum ESPRESSO input):
```
&SYSTEM
  ibrav = 0, nat = 9, ntyp = 3
/
ATOMIC_SPECIES
Hg 200.59 Hg.upf
Ag 107.87 Ag.upf
Li 6.94 Li.upf
ATOMIC_POSITIONS crystal
Hg 0.000 0.000 0.000
Hg 0.877 0.365 0.754
Hg 0.123 0.635 0.246
Ag 0.333 0.000 0.666
Ag 0.667 0.000 0.334
Li 0.780 0.688 0.560
Li 0.545 0.318 0.090
Li 0.220 0.312 0.440
Li 0.455 0.682 0.910
CELL_PARAMETERS angstrom
4.006 0.000 0.000
0.000 6.697 0.562
-2.003 -2.609 5.909
```


(8)
Li2Ag7Hg: relaxed, PBE-GGA. Values from VASP.

## Properties
Total energy, eV/atom: -2.166
N(E_F), states/eV/cell: 4.2
Calculated volume, Å³/f.u.: 221.6
DFT formation energy, meV per atom: 243

Structure (Quantum ESPRESSO input):
```
&SYSTEM
  ibrav = 0, nat = 10, ntyp = 3
/
ATOMIC_SPECIES
Ag 107.87 Ag.upf
Li 6.94 Li.upf
Hg 200.59 Hg.upf
ATOMIC_POSITIONS crystal
Ag 0.000 0.791 0.209
Ag 0.500 0.926 0.697
Ag 0.500 0.303 0.074
Ag 0.500 0.074 0.303
Ag 0.000 0.209 0.791
Ag 0.500 0.697 0.926
Ag 0.500 0.500 0.500
Li 0.500 0.303 0.697
Li 0.500 0.697 0.303
Hg 0.000 0.000 0.000
CELL_PARAMETERS angstrom
4.388 0.000 0.000
0.000 7.708 -0.394
0.000 -3.754 6.743
```


(9)
Li12Ag6Hg: relaxed, PBE-GGA. Values from VASP.

## Properties
Total energy, eV/atom: -2.272
N(E_F), states/eV/cell: 7.1
Energy relative to the lowest polymorph listed for this composition, kcal/mol of atoms: 1.30
Calculated volume, Å³/f.u.: 342.0
DFT formation energy, meV per atom: -146

Structure (Quantum ESPRESSO input):
```
&SYSTEM
  ibrav = 0, nat = 19, ntyp = 3
/
ATOMIC_SPECIES
Li 6.94 Li.upf
Hg 200.59 Hg.upf
Ag 107.87 Ag.upf
ATOMIC_POSITIONS crystal
Li 0.430 0.804 0.528
Li 0.376 0.026 0.153
Li 0.974 0.847 0.624
Li 0.804 0.528 0.430
Li 0.528 0.430 0.804
Li 0.847 0.624 0.974
Li 0.196 0.472 0.570
Li 0.153 0.376 0.026
Li 0.624 0.974 0.847
Li 0.026 0.153 0.376
Li 0.472 0.570 0.196
Li 0.570 0.196 0.472
Hg 0.000 0.000 0.000
Ag 0.119 0.716 0.276
Ag 0.724 0.881 0.284
Ag 0.716 0.276 0.119
Ag 0.881 0.284 0.724
Ag 0.284 0.724 0.881
Ag 0.276 0.119 0.716
CELL_PARAMETERS angstrom
6.958 0.452 0.541
-0.608 6.946 0.541
-0.608 -0.709 6.931
```


(10)
Li2Ag6Hg: relaxed, PBE-GGA. Values from VASP.

## Properties
Total energy, eV/atom: -2.472
N(E_F), states/eV/cell: 2.9
Energy relative to the lowest polymorph listed for this composition, kcal/mol of atoms: 0.00
Calculated volume, Å³/f.u.: 159.3
DFT formation energy, meV per atom: -113

Structure (Quantum ESPRESSO input):
```
&SYSTEM
  ibrav = 0, nat = 9, ntyp = 3
/
ATOMIC_SPECIES
Ag 107.87 Ag.upf
Hg 200.59 Hg.upf
Li 6.94 Li.upf
ATOMIC_POSITIONS crystal
Ag 0.168 0.500 0.336
Ag 0.832 0.500 0.664
Ag 0.723 0.838 0.447
Ag 0.608 0.158 0.217
Ag 0.277 0.162 0.553
Ag 0.392 0.842 0.783
Hg 0.500 0.500 0.000
Li 0.059 0.836 0.118
Li 0.941 0.164 0.882
CELL_PARAMETERS angstrom
3.875 0.000 -1.159
-0.643 6.199 -2.152
-0.128 0.105 6.631
```


(11)
Li2Mg2AgHg2: relaxed, PBE-GGA. Values from VASP.

## Properties
Total energy, eV/atom: -1.737
N(E_F), states/eV/cell: 2.3
Calculated volume, Å³/f.u.: 133.1
DFT formation energy, meV per atom: -241

Structure (Quantum ESPRESSO input):
```
&SYSTEM
  ibrav = 0, nat = 7, ntyp = 4
/
ATOMIC_SPECIES
Hg 200.59 Hg.upf
Mg 24.30 Mg.upf
Li 6.94 Li.upf
Ag 107.87 Ag.upf
ATOMIC_POSITIONS crystal
Hg 0.138 0.138 0.585
Hg 0.862 0.862 0.415
Mg 0.285 0.285 0.145
Mg 0.715 0.715 0.855
Li 0.433 0.433 0.702
Li 0.567 0.567 0.298
Ag 0.000 0.000 0.000
CELL_PARAMETERS angstrom
4.732 0.000 0.000
2.366 4.098 0.000
2.366 1.366 6.863
```


(12)
LiMg3AgHg: relaxed, PBE-GGA. Values from VASP.

## Properties
Total energy, eV/atom: -1.780
N(E_F), states/eV/cell: 4.2
Calculated volume, Å³/f.u.: 125.7
DFT formation energy, meV per atom: -138

Structure (Quantum ESPRESSO input):
```
&SYSTEM
  ibrav = 0, nat = 12, ntyp = 4
/
ATOMIC_SPECIES
Hg 200.59 Hg.upf
Mg 24.30 Mg.upf
Li 6.94 Li.upf
Ag 107.87 Ag.upf
ATOMIC_POSITIONS crystal
Hg 0.319 0.637 0.529
Hg 0.681 0.363 0.471
Mg 0.470 0.940 0.267
Mg 0.856 0.711 0.221
Mg 0.530 0.060 0.733
Mg 0.228 0.456 0.179
Mg 0.772 0.544 0.821
Mg 0.144 0.289 0.779
Li 0.928 0.857 0.670
Li 0.072 0.143 0.330
Ag 0.377 0.754 0.936
Ag 0.623 0.246 0.064
CELL_PARAMETERS angstrom
-4.253 -1.822 0.359
4.518 -5.865 -6.228
2.117 -4.244 3.537
```